# Li2BeSe, PBEsol geometry, DFT SCAN
data_Li2BeSe
_space_group_name_H-M_alt 'P 1'
_space_group_IT_number 1
_cell_length_a 3.4304
_cell_length_b 3.4304
_cell_length_c 4.8285
_cell_angle_alpha 90.00
_cell_angle_beta 90.00
_cell_angle_gamma 90.00
loop_
_space_group_symop_operation_xyz
'x,y,z'
loop_
_atom_site_label
_atom_site_fract_x
_atom_site_fract_y
_atom_site_fract_z
Li1 0.0000 0.0000 0.2371
Li2 0.0000 0.0000 0.7629
Be1 0.5000 0.5000 0.5000
Se1 0.5000 0.5000 0.0000
# Formation energy (no corrections) = -0.29 eV per atom
# Excess energy over the best structure of this formula in the dataset = 215 meV per atom
# Space group = P4/mmm, No. 123
# Calculated total energy = -7.5974 eV per atom